First-principles (SCAN) data for a crystal of Li2MgZn relaxed with PBEsol, as listed in Alexandria.

The volume comes out at 68 Å³/cell. As for the formation energy: -0.117 eV/atom.

The structure belongs to space group P4/mmm (No. 123); the cell edges are 4.039, 4.039 and 4.165 Å and the angles 90.00°, 90.00° and 90.00°. Symmetry generates all atoms from Li at (0.000, 0.500, 0.000), Mg at (0.000, 0.000, 0.500) and Zn at (0.500, 0.500, 0.500).